Record 1
Pm2CuOsO8 | PBE-GGA | optimized geometry

Output
**Calculated volume**: 152 Å³ per cell
**Symmetry**: P-1
**Crystal system**: triclinic
**E**: -86.91 eV for the cell shown
**Formation energy (no corrections)**: -1.868 eV per atom

Cell and atoms, written as POSCAR:
```
Pm2CuOsO8
1.0
4.1983 0.0000 0.0000
0.6653 5.3399 0.0000
0.5951 0.9234 6.7712
Pm Cu Os O
2 1 1 8
Direct
0.1869 0.0210 0.2308
0.8131 0.9790 0.7692
0.5000 0.5000 0.0000
0.5000 0.5000 0.5000
0.1912 0.7708 0.5443
0.2776 0.2644 0.6652
0.2898 0.8270 0.9459
0.2982 0.4504 0.2652
0.7018 0.5496 0.7348
0.7102 0.1730 0.0541
0.7224 0.7356 0.3348
0.8088 0.2292 0.4557
```



Record 2
PuCu2OsO6 | PBE-GGA | optimized geometry

Output
**Calculated volume**: 121 Å³ per cell
**Symmetry**: R-3
**Crystal system**: trigonal
**E**: -77.22 eV for the cell shown
**Formation energy (no corrections)**: -1.372 eV per atom

Cell and atoms, written as POSCAR:
```
PuCu2OsO6
1.0
2.6570 1.5340 4.9304
-2.6570 1.5340 4.9304
0.0000 -3.0680 4.9304
Pu Cu Os O
1 2 1 6
Direct
0.0000 0.0000 0.0000
0.2517 0.2517 0.2517
0.7483 0.7483 0.7483
0.5000 0.5000 0.5000
0.1318 0.4037 0.7307
0.2693 0.8682 0.5963
0.4037 0.7307 0.1318
0.5963 0.2693 0.8683
0.7307 0.1317 0.4037
0.8683 0.5963 0.2693
```



Record 3
Rb2CuOsO4 | PBE-GGA | optimized geometry

Output
**Calculated volume**: 332 Å³ per cell
**Symmetry**: Fddd
**Crystal system**: orthorhombic
**E**: -88.92 eV for the cell shown
**Formation energy (no corrections)**: -0.921 eV per atom

Cell and atoms, written as POSCAR:
```
Rb2CuOsO4
1.0
0.0000 6.4379 9.9014
2.6007 0.0000 9.9014
2.6007 6.4379 0.0000
Rb Cu Os O
4 2 2 8
Direct
0.0476 0.0476 0.7024
0.2976 0.2976 0.9524
0.7024 0.7024 0.0476
0.9524 0.9524 0.2976
0.1250 0.1250 0.1250
0.8750 0.8750 0.8750
0.3750 0.3750 0.3750
0.6250 0.6250 0.6250
0.0124 0.6686 0.5354
0.2836 0.5354 0.6686
0.3314 0.9876 0.7164
0.4646 0.7164 0.9876
0.5354 0.2836 0.0124
0.6686 0.0124 0.2836
0.7164 0.4646 0.3314
0.9876 0.3314 0.4646
```



Record 4
RbCuOs2O8 | PBE-GGA | optimized geometry

Output
**Calculated volume**: 210 Å³ per cell
**Symmetry**: P-3
**Crystal system**: trigonal
**E**: -79.22 eV for the cell shown
**Formation energy (no corrections)**: -1.002 eV per atom

Cell and atoms, written as POSCAR:
```
RbCuOs2O8
1.0
5.4209 0.0000 0.0000
-2.7104 4.6946 0.0000
0.0000 0.0000 8.2514
Rb Cu Os O
1 1 2 8
Direct
0.0000 0.0000 0.0000
0.0000 0.0000 0.5000
0.3333 0.6667 0.7187
0.6667 0.3333 0.2813
0.0509 0.3311 0.6507
0.2802 0.9491 0.6507
0.3311 0.2802 0.3493
0.3333 0.6667 0.9332
0.6667 0.3333 0.0668
0.6689 0.7198 0.6507
0.7198 0.0509 0.3493
0.9491 0.6689 0.3493
```



Record 5
Rb2Cu2OsO6 | PBE-GGA | optimized geometry

Output
**Calculated volume**: 172 Å³ per cell
**Symmetry**: R-3m
**Crystal system**: trigonal
**E**: -62.88 eV for the cell shown
**Formation energy (no corrections)**: -1.070 eV per atom

Cell and atoms, written as POSCAR:
```
Rb2Cu2OsO6
1.0
2.9430 1.6992 5.7451
-2.9430 1.6992 5.7451
0.0000 -3.3983 5.7451
Rb Cu Os O
2 2 1 6
Direct
0.2144 0.2144 0.2144
0.7856 0.7856 0.7856
0.3993 0.3993 0.3993
0.6007 0.6007 0.6007
0.0000 0.0000 0.0000
0.2162 0.2162 0.7645
0.2162 0.7645 0.2162
0.2355 0.7838 0.7838
0.7645 0.2162 0.2162
0.7838 0.2355 0.7838
0.7838 0.7838 0.2355
```



Record 6
CuOsRhO6 | PBE-GGA | optimized geometry

Output
**Calculated volume**: 199 Å³ per cell
**Symmetry**: P-31c
**Crystal system**: trigonal
**E**: -117.65 eV for the cell shown
**Formation energy (no corrections)**: -0.711 eV per atom

Cell and atoms, written as POSCAR:
```
CuOsRhO6
1.0
5.0926 0.0000 0.0000
-2.5463 4.4103 0.0000
0.0000 0.0000 8.8744
Cu Os Rh O
2 2 2 12
Direct
0.0000 0.0000 0.0000
0.0000 0.0000 0.5000
0.3333 0.6667 0.2500
0.6667 0.3333 0.7500
0.3333 0.6667 0.7500
0.6667 0.3333 0.2500
0.0140 0.3623 0.1281
0.0140 0.6518 0.3719
0.3482 0.3623 0.3719
0.3482 0.9860 0.1281
0.3623 0.0140 0.6281
0.3623 0.3482 0.8719
0.6377 0.6518 0.1281
0.6377 0.9860 0.3719
0.6518 0.0140 0.8719
0.6518 0.6377 0.6281
0.9860 0.3482 0.6281
0.9860 0.6377 0.8719
```